<i>
Ba2VZn2 PBE relaxed; size of the total moment = 4.002 μB per cell
1.0
6.460 0.000 0.000
0.000 6.460 0.000
3.230 3.230 3.993
Ba Zn V
2 2 1
Cartesian
6.460 3.230 1.996
3.230 6.460 1.996
6.460 6.460 2.764
3.230 3.230 1.229
0.000 0.000 0.000

***

<ii>
Ba2VZn2 PBE relaxed; size of the total moment = 7.924 μB per cell
1.0
-1.938 5.676 -4.736
-6.428 -3.712 -1.819
-2.506 2.417 3.922
Zn Ba V
4 4 2
Cartesian
-5.723 2.625 -5.274
-2.642 -0.661 -1.281
-6.332 -1.124 -3.353
-2.034 3.088 -3.202
-3.045 2.325 0.128
-4.871 4.669 -2.483
-7.827 2.055 -2.761
-6.001 -0.288 -0.150
-4.183 0.982 -3.278
0.000 0.000 0.000

***

Name the most stable of them. <ii>.

***

<i>
BaV3Zn PBE relaxed; size of the total moment = 0.000 μB per cell
1.0
-3.382 3.278 -0.740
-2.568 -1.843 3.569
2.168 2.930 3.073
V Zn Ba
3 1 1
Cartesian
-1.284 -0.922 1.785
-1.691 1.639 -0.370
1.084 1.465 1.537
-1.890 2.182 2.951
0.000 0.000 0.000

***

<ii>
BaV3Zn PBE relaxed; size of the total moment = 10.990 μB per cell
1.0
5.014 0.000 0.000
0.000 5.014 0.000
0.000 0.000 5.014
Zn V Ba
1 3 1
Cartesian
0.000 0.000 0.000
0.000 0.000 2.507
0.000 2.507 0.000
2.507 0.000 0.000
2.507 2.507 2.507

***

Name the most stable of them. <ii>.

***

<i>
BaZr2V PBE relaxed; size of the total moment = 3.149 μB per cell
1.0
0.000 3.674 3.674
3.674 0.000 3.674
3.674 3.674 0.000
Zr V Ba
2 1 1
Cartesian
5.511 5.511 5.511
1.837 1.837 1.837
0.000 0.000 0.000
3.674 3.674 3.674

***

<ii>
BaZr2V PBE relaxed; size of the total moment = 0.000 μB per cell
1.0
7.558 0.000 0.000
0.000 7.558 0.000
3.779 3.779 5.354
Ba V Zr
2 2 4
Cartesian
7.558 3.779 2.677
0.000 0.000 0.000
3.779 3.779 0.000
3.779 7.558 2.677
3.779 1.890 1.338
9.448 7.558 4.015
3.779 5.669 1.338
5.669 7.558 4.015

***

Name the most stable of them. <i>.